Entry 1:
Material: SrScOs2
Method: DFT, SCAN
State: PBEsol geometry

Summary:
The value obtained for the volume is 81.5 Å³ per cell. As for the total DFT energy (no corrections): -3.2889 Ry per atom. The value obtained for the calculated formation energy is 0.3206 eV/atom. Its total magnetic moment is 0.00 μB per atom. As for the density of states at the Fermi level: 5.4 states/eV/cell.

Cell and atoms, written as CIF:
```
data_SrScOs2
_space_group_name_H-M_alt 'P m m m'
_space_group_IT_number 47
_cell_length_a 2.9845
_cell_length_b 4.1264
_cell_length_c 6.6194
_cell_angle_alpha 90.00
_cell_angle_beta 90.00
_cell_angle_gamma 90.00
loop_
_space_group_symop_operation_xyz
'x,y,z'
'-x,-y,-z'
'-x,-y,z'
'x,y,-z'
'x,-y,-z'
'-x,y,z'
'-x,y,-z'
'x,-y,z'
loop_
_atom_site_label
_atom_site_type_symbol
_atom_site_fract_x
_atom_site_fract_y
_atom_site_fract_z
Sr1 Sr 0.0000 0.0000 0.0000
Sc1 Sc 0.0000 0.0000 0.5000
Os1 Os 0.5000 0.5000 0.3197
```



Entry 2:
Material: LaYOs
Method: DFT, SCAN
State: PBEsol geometry

Summary:
The value obtained for the volume is 315.0 Å³ per cell. As for the total DFT energy (no corrections): -3.5177 Ry per atom. The value obtained for the calculated formation energy is -0.2517 eV/atom. Its total magnetic moment is 0.00 μB per atom. As for the density of states at the Fermi level: 7.1 states/eV/cell.

Cell and atoms, written as CIF:
```
data_LaYOs
_space_group_name_H-M_alt 'F -4 3 m'
_space_group_IT_number 216
_space_group_name_Hall 'F -4 2 3'
_cell_length_a 6.8044
_cell_length_b 6.8044
_cell_length_c 6.8044
_cell_angle_alpha 90.00
_cell_angle_beta 90.00
_cell_angle_gamma 90.00
loop_
_atom_site_label
_atom_site_type_symbol
_atom_site_fract_x
_atom_site_fract_y
_atom_site_fract_z
La1 La 0.0000 0.0000 0.0000
Y1 Y 0.0000 0.0000 0.5000
Os1 Os 0.2500 0.2500 0.2500
```



Entry 3:
Material: Mg2AlZn
Method: DFT, SCAN
State: PBEsol geometry

Summary:
The value obtained for the volume is 148.8 Å³ per cell. As for the total DFT energy (no corrections): -0.5722 Ry per atom. The value obtained for the calculated formation energy is 0.0186 eV/atom. Its total magnetic moment is 0.00 μB per atom. As for the density of states at the Fermi level: 2.7 states/eV/cell.

Cell and atoms, written as CIF:
```
data_Mg2AlZn
_space_group_name_H-M_alt 'C 1 2/m 1'
_space_group_IT_number 12
_cell_length_a 9.5438
_cell_length_b 3.0202
_cell_length_c 5.2679
_cell_angle_alpha 90.00
_cell_angle_beta 101.52
_cell_angle_gamma 90.00
loop_
_space_group_symop_operation_xyz
'x,y,z'
'-x,-y,-z'
'-x,y,-z'
'x,-y,z'
'x+1/2,y+1/2,z'
'-x+1/2,-y+1/2,-z'
'-x+1/2,y+1/2,-z'
'x+1/2,-y+1/2,z'
loop_
_atom_site_label
_atom_site_type_symbol
_atom_site_fract_x
_atom_site_fract_y
_atom_site_fract_z
Mg1 Mg 0.2466 0.0000 0.2463
Al1 Al 0.0000 0.0000 0.5000
Zn1 Zn 0.0000 0.5000 0.0000
```